{
  "formula": "LaNdSn2Au4",
  "functional": "PBE",
  "state": "optimized geometry",
  "e_tot_ev_per_atom": -4.57,
  "lattice_angstrom": [[4.797, 0.000, 0.000], [-2.399, 4.154, 0.000], [0.000, 0.000, 9.664]],
  "species": ["La", "Nd", "Sn", "Sn", "Au", "Au", "Au", "Au"],
  "fractional_positions": [[0.000, 0.000, 0.000], [0.333, 0.667, 0.500], [0.667, 0.333, 0.251], [0.667, 0.333, 0.749], [0.000, 0.000, 0.351], [0.000, 0.000, 0.649], [0.333, 0.667, 0.154], [0.333, 0.667, 0.846]]
}

***

{
  "formula": "LaNdZn2Au4",
  "functional": "PBE",
  "state": "optimized geometry",
  "delta_e_f_ev_per_atom": -0.59,
  "lattice_angstrom": [[4.985, 0.000, 0.000], [0.000, 4.985, 0.000], [0.000, 0.000, 7.062]],
  "species": ["La", "Nd", "Zn", "Zn", "Au", "Au", "Au", "Au"],
  "fractional_positions": [[0.000, 0.000, 0.000], [0.500, 0.500, 0.500], [0.000, 0.000, 0.500], [0.500, 0.500, 0.000], [0.000, 0.500, 0.254], [0.000, 0.500, 0.746], [0.500, 0.000, 0.254], [0.500, 0.000, 0.746]]
}

***

{
  "formula": "LaPr2Si4Ni2Au2",
  "functional": "PBE",
  "state": "optimized geometry",
  "e_tot_ev_per_atom": -5.60,
  "lattice_angstrom": [[-2.094, 2.155, 12.106], [2.094, -2.155, 12.106], [2.094, 2.155, -12.106]],
  "species": ["La", "Pr", "Pr", "Si", "Si", "Si", "Si", "Ni", "Ni", "Au", "Au"],
  "fractional_positions": [[0.000, 0.000, 0.000], [0.144, 0.644, 0.500], [0.856, 0.356, 0.500], [0.314, 0.814, 0.500], [0.449, 0.449, 0.000], [0.551, 0.551, 0.000], [0.686, 0.186, 0.500], [0.407, 0.907, 0.500], [0.593, 0.093, 0.500], [0.249, 0.249, 0.000], [0.751, 0.751, 0.000]]
}

***

{
  "formula": "LaSi2NiAu",
  "functional": "PBE",
  "state": "optimized geometry",
  "e_tot_ev_per_atom": -5.61,
  "lattice_angstrom": [[-2.113, 2.113, 5.049], [2.113, -2.113, 5.049], [2.113, 2.113, -5.049]],
  "species": ["La", "Si", "Si", "Ni", "Au"],
  "fractional_positions": [[0.000, 0.000, 0.000], [0.381, 0.381, 0.000], [0.619, 0.619, 0.000], [0.750, 0.250, 0.500], [0.250, 0.750, 0.500]]
}

***

Mass density: 11.280, 11.371, 7.936, 8.297 (g cm⁻³)
V: 193, 176, 219, 90 (Å³/f.u.)
Magnetization: 0.001, 0.010, 0.001, 0.002 (Bohr magnetons per cell)